Pr3Y12Mg | PBE | optimized geometry

Computed properties:
- M_tot: 0.000 μB per atom
- Space-group type: P4/mmm
- Energy relative to the elements: 35 kJ/mol of formula units

abc: 5.066 5.066 20.318
angles: 90.00 90.00 90.00
Atoms (fractional coordinates):
Pr  0.000  0.000  0.000
Pr  0.000  0.000  0.252
Pr  0.000  0.000  0.748
Y  0.000  0.500  0.127
Y  0.000  0.500  0.379
Y  0.000  0.500  0.621
Y  0.000  0.500  0.873
Y  0.500  0.000  0.127
Y  0.500  0.000  0.379
Y  0.500  0.000  0.621
Y  0.500  0.000  0.873
Y  0.500  0.500  0.000
Y  0.500  0.500  0.256
Y  0.500  0.500  0.500
Y  0.500  0.500  0.744
Mg  0.000  0.000  0.500